PBE-GGA LaNd5Er3, relaxed; E above lowest polymorph = 0.000 eV/atom; ΔH_f (0 K) = 279 meV per atom; symmetry = C2/c (15)
1.0
9.399 -3.261 0.000
9.399 3.261 0.000
-4.628 0.000 10.374
La Nd Er
2 10 6
Direct
0.143 0.857 0.750
0.857 0.143 0.250
0.005 0.657 0.136
0.132 0.532 0.792
0.343 0.995 0.364
0.396 0.604 0.250
0.468 0.868 0.708
0.532 0.132 0.292
0.604 0.396 0.750
0.657 0.005 0.636
0.868 0.468 0.208
0.995 0.343 0.864
0.000 0.000 0.000
0.000 0.000 0.500
0.137 0.539 0.486
0.461 0.863 0.014
0.539 0.137 0.986
0.863 0.461 0.514